Material: Rb5ThO4
Method: DFT, PBE-GGA
State: optimized geometry

Geometry as extended XYZ:
```
10
Lattice="10.393 -1.911 0.000 10.393 1.911 0.000 -0.584 0.000 7.922" Properties=species:S:1:pos:R:3 pbc="T T T"
Rb 0.000 0.000 0.000
Rb 7.308 0.000 1.969
Rb 7.048 0.000 5.490
Rb 13.153 0.000 2.432
Rb 12.893 0.000 5.953
Th -0.292 0.000 3.961
O 1.956 0.000 4.134
O 10.225 0.000 2.403
O 9.977 0.000 5.519
O 18.246 0.000 3.788
```

Output
Electronic total energy (eV per atom): -4.9862
Crystal system: monoclinic
Space-group type: No. 12